Record 1
Density functional theory data (PBE) for a geometry-optimized TbNdNiPt structure.

Cell: 4.4388 5.5447 5.5447 Å, 41.20 90.00 90.00°
Last column: nearest neighbours and their distance in Å.
Fractional positions:
Tb 0.0000 0.0000 0.0000  3 Pt 2.95-2.98, 4 Ni 3.01
Nd 0.5000 0.2797 0.2797  3 Ni 2.88-3.02, 4 Pt 3.04
Ni 0.5000 0.5575 0.5575  2 Pt 2.74, 3 Nd 2.88-3.02, 4 Tb 3.01
Pt 0.0000 0.7129 0.7129  2 Ni 2.74, 3 Tb 2.95-2.98, 4 Nd 3.04

## Properties
- Formation energy: -0.791 eV/atom
- SG: Amm2, No. 38
- V: 90 Å³ per cell
- E_tot: -6.096 eV/atom
- Relative energy among the computed polymorphs: 0.0 meV/atom


Record 2
Density functional theory data (PBE) for a geometry-optimized Sn2Pb2N structure.

Cell: 6.3861 6.3861 6.1834 Å, 90.00 90.00 90.00°
Last column: nearest neighbours and their distance in Å.
Fractional positions:
Sn 0.1770 0.3230 0.0000  2 N 2.35
Sn 0.3230 0.8230 0.0000  2 N 2.35
Sn 0.6770 0.1770 0.0000  2 N 2.35
Sn 0.8230 0.6770 0.0000  2 N 2.35
Pb 0.1963 0.6963 0.5000  5 Pb 3.27-3.55, 2 Sn 3.30
Pb 0.3037 0.1963 0.5000  5 Pb 3.27-3.55, 2 Sn 3.30
Pb 0.6963 0.8037 0.5000  5 Pb 3.27-3.55, 2 Sn 3.30
Pb 0.8037 0.3037 0.5000  5 Pb 3.27-3.55, 2 Sn 3.30
N 0.0000 0.0000 0.0000  4 Sn 2.35
N 0.5000 0.5000 0.0000  4 Sn 2.35

## Properties
- SG: P4/mbm, No. 127
- V: 252 Å³ per cell
- Energy relative to the elements, uncorrected: 501 meV/atom
- E_tot: -4.249 eV/atom
- Relative energy among the computed polymorphs: 0.0 meV/atom


Record 3
Density functional theory data (PBE) for a geometry-optimized MgSiSb2 structure.

Cell: 3.4555 3.4555 8.0171 Å, 90.00 90.00 101.95°
Last column: nearest neighbours and their distance in Å.
Fractional positions:
Mg 0.0000 0.0000 0.0000  4 Sb 3.03
Si 0.0000 0.0000 0.5000  4 Sb 2.89
Sb 0.5000 0.5000 0.2632  2 Si 2.89, 2 Mg 3.03
Sb 0.5000 0.5000 0.7368  2 Si 2.89, 2 Mg 3.03

## Properties
- SG: Cmmm, No. 65
- V: 94 Å³ per cell
- Energy relative to the elements, uncorrected: 240 meV/atom
- E_tot: -3.575 eV/atom